The following is a GGA-PBEsol calculation of a relaxed structure of Cs2MoO4, from the Alexandria database.

Cell and atoms, written as CIF:
```
data_Cs2MoO4
_chemical_formula_sum 'Cs8 Mo4 O16'
_symmetry_space_group_name_H-M 'P n m a'
_symmetry_Int_Tables_number 62
_symmetry_space_group_name_Hall '-P 2ac 2n'
_cell_length_a 13.9624
_cell_length_b 6.6042
_cell_length_c 8.1898
_cell_angle_alpha 90.00
_cell_angle_beta 90.00
_cell_angle_gamma 90.00
loop_
_atom_site_label
_atom_site_type_symbol
_atom_site_fract_x
_atom_site_fract_y
_atom_site_fract_z
Cs1 Cs 0.0527 0.2500 0.1434
Cs2 Cs 0.1637 0.2500 0.6075
Mo1 Mo 0.1084 0.7500 0.3530
O1 O 0.0169 0.7500 0.2015
O2 O 0.0561 0.7500 0.5492
O3 O 0.1805 0.5328 0.3251
```

N(E_F): 0.0 states/eV/cell
E_form (uncorrected): -2.106 eV/atom



The following is a GGA-PBEsol calculation of a relaxed structure of CsMo2P3O13, from the Alexandria database.

Cell and atoms, written as CIF:
```
data_CsMo2P3O13
_chemical_formula_sum 'Cs4 Mo8 P12 O52'
_symmetry_space_group_name_H-M 'P 1 21 1'
_symmetry_Int_Tables_number 4
_symmetry_space_group_name_Hall 'P 2yb'
_cell_length_a 6.3919
_cell_length_b 19.7315
_cell_length_c 9.8484
_cell_angle_alpha 90.00
_cell_angle_beta 106.91
_cell_angle_gamma 90.00
loop_
_atom_site_label
_atom_site_type_symbol
_atom_site_fract_x
_atom_site_fract_y
_atom_site_fract_z
Cs1 Cs 0.2228 0.0000 0.1289
Cs2 Cs 0.2293 0.8240 0.5047
Mo1 Mo 0.0630 0.2046 0.8914
Mo2 Mo 0.1436 0.4932 0.5739
Mo3 Mo 0.3589 0.1663 0.4450
Mo4 Mo 0.4395 0.4483 0.1289
P1 P 0.0113 0.9156 0.7780
P2 P 0.0963 0.6494 0.4568
P3 P 0.2427 0.2940 0.2086
P4 P 0.2610 0.3609 0.8067
P5 P 0.4017 0.0066 0.5309
P6 P 0.4819 0.7388 0.2012
O1 O 0.0270 0.3354 0.2148
O2 O 0.0427 0.4349 0.3767
O3 O 0.0494 0.6846 0.3126
O4 O 0.0612 0.1785 0.4658
O5 O 0.0703 0.1253 0.9490
O6 O 0.0774 0.5720 0.4388
O7 O 0.0896 0.3107 0.8221
O8 O 0.1252 0.4508 0.1377
O9 O 0.1667 0.2437 0.0892
O10 O 0.1736 0.9846 0.4356
O11 O 0.1843 0.3987 0.6646
O12 O 0.2112 0.5362 0.7259
O13 O 0.2416 0.7317 0.1156
O14 O 0.2523 0.9237 0.8636
O15 O 0.2808 0.1235 0.2927
O16 O 0.3254 0.6714 0.5479
O17 O 0.3259 0.2597 0.3537
O18 O 0.3365 0.4121 0.9267
O19 O 0.3732 0.2049 0.8776
O20 O 0.4094 0.3451 0.1893
O21 O 0.4149 0.0820 0.5694
O22 O 0.4393 0.5282 0.0752
O23 O 0.4459 0.4858 0.5581
O24 O 0.4559 0.9627 0.6648
O25 O 0.4683 0.2199 0.6434
O26 O 0.4775 0.3200 0.8027
```

energy relative to the lowest polymorph listed for this composition: 0 meV per atom
E_form (uncorrected): -2.137 eV/atom



The following is a GGA-PBEsol calculation of a relaxed structure of CsMoP2O7, from the Alexandria database.

Cell and atoms, written as CIF:
```
data_CsMoP2O7
_chemical_formula_sum 'Cs4 Mo4 P8 O28'
_symmetry_space_group_name_H-M 'P 1 21/c 1'
_symmetry_Int_Tables_number 14
_symmetry_space_group_name_Hall '-P 2ybc'
_cell_length_a 7.7105
_cell_length_b 10.3532
_cell_length_c 8.5087
_cell_angle_alpha 90.00
_cell_angle_beta 105.11
_cell_angle_gamma 90.00
loop_
_atom_site_label
_atom_site_type_symbol
_atom_site_fract_x
_atom_site_fract_y
_atom_site_fract_z
Cs1 Cs 0.1932 0.1892 0.0499
Mo1 Mo 0.2382 0.6001 0.2590
P1 P 0.1295 0.5980 0.8298
P2 P 0.4292 0.6310 0.6866
O1 O 0.0072 0.0036 0.7723
O2 O 0.0858 0.7345 0.7591
O3 O 0.1458 0.5900 0.0096
O4 O 0.3221 0.5570 0.8022
O5 O 0.3225 0.6031 0.5132
O6 O 0.3820 0.0739 0.7655
O7 O 0.4412 0.7256 0.2340
```

E_form (uncorrected): -2.094 eV/atom



The following is a GGA-PBEsol calculation of a relaxed structure of CsMo2P3O13, from the Alexandria database.

Cell and atoms, written as CIF:
```
data_CsMo2P3O13
_chemical_formula_sum 'Cs2 Mo4 P6 O26'
_symmetry_space_group_name_H-M 'P 1 2/c 1'
_symmetry_Int_Tables_number 13
_symmetry_space_group_name_Hall '-P 2yc'
_cell_length_a 7.7019
_cell_length_b 8.4751
_cell_length_c 8.9966
_cell_angle_alpha 90.00
_cell_angle_beta 99.95
_cell_angle_gamma 90.00
loop_
_atom_site_label
_atom_site_type_symbol
_atom_site_fract_x
_atom_site_fract_y
_atom_site_fract_z
Cs1 Cs 0.0000 0.1692 0.2500
Mo1 Mo 0.2874 0.2353 0.9349
P1 P 0.3521 0.4400 0.6379
P2 P 0.5000 0.0452 0.2500
O1 O 0.0825 0.1629 0.9210
O2 O 0.2386 0.4377 0.0420
O3 O 0.2405 0.3545 0.7381
O4 O 0.3744 0.1504 0.1409
O5 O 0.3833 0.0530 0.8363
O6 O 0.4491 0.3283 0.5485
O7 O 0.5000 0.4625 0.2500
```

energy relative to the lowest polymorph listed for this composition: 5 meV per atom
E_form (uncorrected): -2.132 eV/atom



The following is a GGA-PBEsol calculation of a relaxed structure of CsMo2P2O11, from the Alexandria database.

Cell and atoms, written as CIF:
```
data_CsMo2P2O11
_chemical_formula_sum 'Cs4 Mo8 P8 O44'
_symmetry_space_group_name_H-M 'P 1 21/c 1'
_symmetry_Int_Tables_number 14
_symmetry_space_group_name_Hall '-P 2ybc'
_cell_length_a 10.1224
_cell_length_b 8.7567
_cell_length_c 11.5349
_cell_angle_alpha 90.00
_cell_angle_beta 104.16
_cell_angle_gamma 90.00
loop_
_atom_site_label
_atom_site_type_symbol
_atom_site_fract_x
_atom_site_fract_y
_atom_site_fract_z
Cs1 Cs 0.0962 0.2285 0.0745
Mo1 Mo 0.1939 0.7277 0.2232
Mo2 Mo 0.3818 0.2428 0.8868
P1 P 0.2941 0.5839 0.9880
P2 P 0.4795 0.0788 0.1658
O1 O 0.0457 0.6390 0.2253
O2 O 0.1539 0.6144 0.6355
O3 O 0.2068 0.6710 0.8775
O4 O 0.2135 0.5970 0.0864
O5 O 0.2341 0.1564 0.8203
O6 O 0.2937 0.0873 0.4599
O7 O 0.3812 0.6602 0.2976
O8 O 0.3886 0.1202 0.2507
O9 O 0.4036 0.1255 0.0393
O10 O 0.4347 0.6524 0.0263
O11 O 0.5003 0.0952 0.8261
```

N(E_F): 3.3 states/eV/cell
E_form (uncorrected): -2.129 eV/atom



The following is a GGA-PBEsol calculation of a relaxed structure of Cs3Mo6P10O38, from the Alexandria database.

Cell and atoms, written as CIF:
```
data_Cs3Mo6P10O38
_chemical_formula_sum 'Cs3 Mo6 P10 O38'
_symmetry_space_group_name_H-M 'P -1'
_symmetry_Int_Tables_number 2
_symmetry_space_group_name_Hall '-P 1'
_cell_length_a 6.4449
_cell_length_b 9.5383
_cell_length_c 14.3264
_cell_angle_alpha 89.83
_cell_angle_beta 88.73
_cell_angle_gamma 74.14
loop_
_atom_site_label
_atom_site_type_symbol
_atom_site_fract_x
_atom_site_fract_y
_atom_site_fract_z
Cs1 Cs 0.0000 0.0000 0.0000
Cs2 Cs 0.0365 0.6285 0.7121
Mo1 Mo 0.2633 0.6625 0.3866
Mo2 Mo 0.2858 0.6321 0.1373
Mo3 Mo 0.3792 0.9585 0.7510
P1 P 0.1580 0.9534 0.2530
P2 P 0.2596 0.2806 0.8862
P3 P 0.2870 0.2362 0.5905
P4 P 0.4909 0.2823 0.0600
P5 P 0.4951 0.2949 0.4251
O1 O 0.0219 0.3649 0.8932
O2 O 0.0514 0.3273 0.5882
O3 O 0.0719 0.9444 0.7564
O4 O 0.1784 0.8713 0.3464
O5 O 0.2130 0.8498 0.1672
O6 O 0.2585 0.6107 0.2634
O7 O 0.2954 0.1420 0.8307
O8 O 0.2947 0.7149 0.5232
O9 O 0.3037 0.0572 0.2504
O10 O 0.3237 0.0883 0.6359
O11 O 0.3278 0.6876 0.0014
O12 O 0.3323 0.2276 0.9912
O13 O 0.3431 0.4485 0.4242
O14 O 0.3523 0.4166 0.1100
O15 O 0.3651 0.1992 0.4829
O16 O 0.3913 0.3843 0.8542
O17 O 0.4194 0.3352 0.6279
O18 O 0.4199 0.8440 0.8755
O19 O 0.4611 0.7687 0.6725
```

N(E_F): 7.5 states/eV/cell
E_form (uncorrected): -2.111 eV/atom